The following is a DFT calculation (GGA-PBE) of an optimized crystal structure of TbRhAu.

a b c (Å): 3.578 3.578 5.287
angles (deg): 109.78 109.78 90.00
Fractional positions:
Au1 0.279 0.279 0.558
Tb1 0.957 0.957 0.913
Rh1 0.614 0.614 0.229

Energy above the most stable polymorph in this dataset = 50.8 meV per atom
V = 19.812 A^3/atom
Fermi-level density of states = 1.82 states/eV/cell
Space-group type = I4mm (107)
Formation energy from the elements = -0.6214 eV/atom
Spin magnetization = 0.00 μB/f.u.
E_tot = -17.1 eV/f.u.